The following is a DFT calculation (PBE) of a relaxed SrHo2 crystal.

Output
Density of states at the Fermi level, states/eV/atom: 1.87
Magnetization, μB/atom: 0.000
E_form, meV/atom: 237
Offset from the most stable computed form, meV per atom: 94
Volume, Å³/atom: 38.681

Unit cell a=9.755 b=9.755 c=9.755 alpha=90.00 beta=90.00 gamma=90.00
Space group Fd-3m (No. 227, origin choice 2)
Asymmetric unit:
Sr: 0.125 0.125 0.125
Ho: 0.000 0.000 0.500